[1]
Below is a geometry-optimized Ce2TlGa structure, with properties calculated at the PBE level.

Computed properties:
Distance to the lowest polymorph of the same formula, meV per atom: 176
DOS at the Fermi energy, states/eV/cell: 8.55
ΔE_f, eV per formula unit: -0.7

Geometry as POSCAR:
```
Ce2TlGa
1.0
1.651 0.953 10.727
-1.651 0.953 10.727
0.000 -1.906 10.727
Ce Tl Ga
2 1 1
Cartesian
0.000 0.000 7.837
0.000 0.000 24.344
0.000 0.000 0.000
0.000 0.000 16.091
```

---

[2]
Below is a geometry-optimized NbCoPt2 structure, with properties calculated at the PBE level.

Computed properties:
DOS at the Fermi energy, states/eV/cell: 9.18
ΔE_f, eV per formula unit: 2.1

Geometry as POSCAR:
```
NbCoPt2
1.0
-2.745 2.745 5.703
2.745 -2.745 5.703
2.745 2.745 -5.703
Nb Co Pt
2 2 4
Cartesian
0.000 0.000 0.000
0.000 2.745 2.852
2.745 0.000 2.852
0.000 0.000 5.703
1.373 -1.196 4.277
1.549 1.373 1.426
1.373 3.941 -1.426
1.196 1.373 7.129
```

---

[3]
Below is a geometry-optimized BeNbNi6 structure, with properties calculated at the PBE level.

Computed properties:
Distance to the lowest polymorph of the same formula, meV per atom: 0
DOS at the Fermi energy, states/eV/cell: 29.45
ΔE_f, eV per formula unit: -1.8

Geometry as POSCAR:
```
BeNbNi6
1.0
3.524 -5.081 0.000
3.524 5.081 0.000
0.000 0.000 10.133
Be Nb Ni
4 4 24
Cartesian
0.000 0.000 2.401
0.000 0.000 7.732
3.524 2.382 0.000
3.524 -2.382 0.000
3.524 2.458 5.066
3.524 0.000 2.449
3.524 0.000 7.684
3.524 -2.458 5.066
0.000 0.000 0.000
0.000 0.000 5.066
1.690 1.293 1.217
1.690 1.293 8.916
1.682 1.241 3.742
1.682 1.241 6.391
3.524 2.551 2.443
3.524 2.551 7.690
1.682 -1.241 3.742
1.682 -1.241 6.391
1.690 -1.293 1.217
1.690 -1.293 8.916
3.524 0.000 0.000
3.524 0.000 5.066
5.359 1.293 1.217
5.359 1.293 8.916
5.367 1.241 3.742
5.367 1.241 6.391
3.524 -2.551 2.443
3.524 -2.551 7.690
5.367 -1.241 3.742
5.367 -1.241 6.391
5.359 -1.293 1.217
5.359 -1.293 8.916
```

---

[4]
Below is a geometry-optimized Si3Rh structure, with properties calculated at the PBE level.

Computed properties:
DOS at the Fermi energy, states/eV/cell: 3.20
ΔE_f (raw), eV per formula unit: -0.1

Geometry as POSCAR:
```
Si3Rh
1.0
-1.766 1.766 9.765
1.766 -1.766 9.765
1.766 1.766 -9.765
Si Rh
6 2
Cartesian
1.766 0.000 0.000
0.000 0.000 2.030
1.766 0.000 4.883
0.000 1.766 0.000
0.000 1.766 4.883
0.000 0.000 17.500
0.000 0.000 6.469
0.000 0.000 13.061
```

---

[5]
Below is a geometry-optimized Cs3Ca2RhO6 structure, with properties calculated at the PBE level.

Computed properties:
DOS at the Fermi energy, states/eV/cell: 5.45
ΔE_f (raw), eV per formula unit: -18.8

Geometry as POSCAR:
```
Cs3Ca2RhO6
1.0
3.035 -5.249 0.000
3.035 5.249 0.000
-1.994 0.000 6.675
Cs Ca Rh O
3 2 1 6
Cartesian
0.000 0.000 0.000
3.035 1.751 0.000
3.035 -1.751 0.000
2.038 3.505 3.337
2.038 -3.505 3.337
2.038 0.000 3.337
1.155 1.510 2.247
0.275 0.000 4.461
1.155 -1.510 2.247
2.920 1.510 4.427
3.800 0.000 2.214
2.920 -1.510 4.427
```

---

[6]
Below is a geometry-optimized TbSc4Sb5 structure, with properties calculated at the PBE level.

Computed properties:
DOS at the Fermi energy, states/eV/cell: 1.87
ΔE_f (raw), eV per formula unit: -9.7

Geometry as POSCAR:
```
TbSc4Sb5
1.0
-2.105 2.988 10.520
2.105 -2.988 10.520
2.105 2.988 -10.520
Tb Sc Sb
1 4 5
Cartesian
0.000 0.000 0.000
0.000 0.000 4.275
0.000 0.000 8.414
0.000 0.000 12.627
0.000 0.000 16.766
2.105 0.000 2.235
2.105 0.000 6.337
0.000 2.988 0.000
0.000 2.988 4.184
0.000 2.988 8.286
```

---

[7]
Below is a geometry-optimized Si3NiBr structure, with properties calculated at the PBE level.

Computed properties:
Distance to the lowest polymorph of the same formula, meV per atom: 0
DOS at the Fermi energy, states/eV/cell: 2.37
ΔE_f (raw), eV per formula unit: 2.0

Geometry as POSCAR:
```
Si3NiBr
1.0
4.524 0.000 0.000
0.000 4.524 0.000
0.000 0.000 4.524
Si Ni Br
3 1 1
Cartesian
0.000 0.000 2.262
0.000 2.262 0.000
2.262 0.000 0.000
0.000 0.000 0.000
2.262 2.262 2.262
```

---

[8]
Below is a geometry-optimized LiH2Ir2 structure, with properties calculated at the PBE level.

Computed properties:
Distance to the lowest polymorph of the same formula, meV per atom: 0
DOS at the Fermi energy, states/eV/cell: 8.57

Geometry as POSCAR:
```
LiH2Ir2
1.0
5.185 0.000 0.000
0.000 5.185 0.000
0.000 0.000 3.638
Li H Ir
2 4 4
Cartesian
0.000 0.000 0.000
2.593 2.593 0.000
0.900 1.692 0.000
1.692 4.285 0.000
3.493 0.900 0.000
4.285 3.493 0.000
0.919 1.674 1.819
1.674 4.267 1.819
3.511 0.919 1.819
4.267 3.511 1.819
```

---

[9]
Below is a geometry-optimized CaNdInAg structure, with properties calculated at the PBE level.

Computed properties:
DOS at the Fermi energy, states/eV/cell: 2.99
ΔE_f, eV per formula unit: -1.6

Geometry as POSCAR:
```
CaNdInAg
1.0
0.000 3.802 3.802
3.802 0.000 3.802
3.802 3.802 0.000
Ca Nd In Ag
1 1 1 1
Cartesian
0.000 0.000 0.000
3.802 3.802 3.802
1.901 1.901 1.901
5.703 5.703 5.703
```

---

[10]
Below is a geometry-optimized TbNd3Ru8 structure, with properties calculated at the PBE level.

Computed properties:
DOS at the Fermi energy, states/eV/cell: 15.97
ΔE_f, eV per formula unit: -2.0

Geometry as POSCAR:
```
TbNd3Ru8
1.0
2.699 1.559 8.872
-2.699 1.559 8.872
0.000 -3.117 8.872
Tb Nd Ru
1 3 8
Cartesian
0.000 0.000 0.000
0.000 0.000 3.317
0.000 0.000 13.296
0.000 0.000 16.621
-1.388 -0.801 10.519
0.000 -1.534 6.137
-1.328 0.767 6.137
0.000 0.000 8.437
1.328 0.767 6.137
1.388 -0.801 10.519
0.000 1.603 10.519
0.000 0.000 21.737
```

---

[11]
Below is a geometry-optimized K3AcPr2Te6 structure, with properties calculated at the PBE level.

Computed properties:
DOS at the Fermi energy, states/eV/cell: 0.00
ΔE_f (raw), eV per formula unit: -17.3

Geometry as POSCAR:
```
K3AcPr2Te6
1.0
4.085 -7.076 0.000
4.085 7.076 0.000
-2.726 0.000 8.269
K Ac Pr Te
3 1 2 6
Cartesian
0.000 0.000 0.000
4.085 2.338 0.000
4.085 -2.338 0.000
2.722 0.000 4.134
2.722 4.714 4.134
2.722 -4.714 4.134
1.323 2.423 2.331
-0.077 0.000 5.938
1.323 -2.423 2.331
4.121 2.423 5.938
5.520 0.000 2.331
4.121 -2.423 5.938
```

---

[12]
Below is a geometry-optimized BaSiRu2 structure, with properties calculated at the PBE level.

Computed properties:
DOS at the Fermi energy, states/eV/cell: 6.27
ΔE_f (raw), eV per formula unit: 3.0

Geometry as POSCAR:
```
BaSiRu2
1.0
4.645 0.000 0.000
0.000 4.645 0.000
0.000 0.000 3.407
Ba Si Ru
1 1 2
Cartesian
0.000 0.000 0.000
2.323 2.323 0.000
0.000 2.323 1.704
2.323 0.000 1.704
```